[1]
DFT (PBE-GGA) results for a geometry-optimized LiPm3Dy3Se8 structure.

```
data_LiPm3Dy3Se8
_chemical_formula_sum 'Li3 Pm9 Dy9 Se24'
_cell_length_a 8.1990
_cell_length_b 8.1990
_cell_length_c 20.2133
_cell_angle_alpha 90.00
_cell_angle_beta 90.00
_cell_angle_gamma 120.00
_symmetry_space_group_name_H-M 'R -3 m'
_symmetry_Int_Tables_number 166
_symmetry_space_group_name_Hall '-R 3 2"'
loop_
_atom_site_label
_atom_site_fract_x
_atom_site_fract_y
_atom_site_fract_z
Li1 0.0000 0.0000 0.0000
Pm1 0.0000 0.5000 0.5000
Dy1 0.0000 0.5000 0.0000
Se1 0.0000 0.0000 0.2531
Se2 0.0011 0.5005 0.7465
```

Results
* E_form (uncorrected): -27.10 eV/f.u.
* total magnetization: 0.0 μB/f.u.
* E_tot: -5.663 eV/atom
* density of states at the Fermi level: 0.297 states/eV/atom
* volume: 26.15 Å³ per atom

[2]
DFT (PBE-GGA) results for a geometry-optimized Pr2Dy9Ho structure.

```
data_Pr2Dy9Ho
_chemical_formula_sum 'Pr2 Dy9 Ho1'
_cell_length_a 11.2984
_cell_length_b 11.2984
_cell_length_c 3.4926
_cell_angle_alpha 90.00
_cell_angle_beta 90.00
_cell_angle_gamma 120.00
_symmetry_space_group_name_H-M 'P 6/m m m'
_symmetry_Int_Tables_number 191
_symmetry_space_group_name_Hall '-P 6 2'
loop_
_atom_site_label
_atom_site_fract_x
_atom_site_fract_y
_atom_site_fract_z
Pr1 0.3333 0.6667 0.0000
Dy1 0.0000 0.5000 0.0000
Dy2 0.1726 0.3452 0.5000
Ho1 0.0000 0.0000 0.0000
```

Results
* total magnetization: 0.0 μB/f.u.
* E_tot: -4.557 eV/atom
* density of states at the Fermi level: 1.595 states/eV/atom
* volume: 32.18 Å³ per atom

[3]
DFT (PBE-GGA) results for a geometry-optimized CdBi2Pd structure.

```
data_CdBi2Pd
_chemical_formula_sum 'Cd4 Bi8 Pd4'
_cell_length_a 4.828
_cell_length_b 4.828
_cell_length_c 19.016
_cell_angle_alpha 90.00
_cell_angle_beta 90.00
_cell_angle_gamma 90.00
_symmetry_space_group_name_H-M 'I -4 2 d'
_symmetry_Int_Tables_number 122
_symmetry_space_group_name_Hall 'I -4 2bw'
loop_
_atom_site_label
_atom_site_fract_x
_atom_site_fract_y
_atom_site_fract_z
Cd1 0.000 0.000 0.000
Bi1 0.217 0.250 0.625
Pd1 0.000 0.000 0.500
```

Results
* total magnetization: 0.0 μB/f.u.
* E_tot: -3.415 eV/atom
* density of states at the Fermi level: 0.415 states/eV/atom
* volume: 27.71 Å³ per atom

[4]
DFT (PBE-GGA) results for a geometry-optimized NaCaPt2 structure.

```
data_NaCaPt2
_chemical_formula_sum 'Na4 Ca4 Pt8'
_cell_length_a 7.755
_cell_length_b 7.755
_cell_length_c 5.535
_cell_angle_alpha 90.00
_cell_angle_beta 90.00
_cell_angle_gamma 90.00
_symmetry_space_group_name_H-M 'I -4 2 d'
_symmetry_Int_Tables_number 122
_symmetry_space_group_name_Hall 'I -4 2bw'
loop_
_atom_site_label
_atom_site_fract_x
_atom_site_fract_y
_atom_site_fract_z
Na1 0.000 0.000 0.000
Ca1 0.000 0.000 0.500
Pt1 0.245 0.250 0.125
```

Results
* total magnetization: 0.0 μB/f.u.
* E_tot: -4.121 eV/atom
* density of states at the Fermi level: 0.320 states/eV/atom
* volume: 20.81 Å³ per atom